(one)
# Sb2Os2F

A relaxed structure of Sb2Os2F (PBE, the Alexandria database).

```
Sb2Os2F
1.0
-4.0994 0.3914 6.3809
6.3235 -0.8658 4.1156
0.3808 3.0538 0.0573
Sb Os F
4 4 2
Cartesian
3.9173 -0.5941 5.6240
0.7326 -0.2429 8.0757
-1.6933 0.1197 4.8726
1.4914 -0.2314 2.4208
3.6542 1.0295 3.5123
3.0484 1.0276 7.6425
-1.0494 1.5499 7.0416
-0.4435 1.5518 2.9114
0.0000 0.0000 0.0000
1.1120 -0.2372 5.2483
```



(two)
# Sb2Os2F

A relaxed structure of Sb2Os2F (PBE, the Alexandria database).

```
Sb2Os2F
1.0
-0.2608 3.5487 1.0894
0.3461 -1.0641 3.5490
7.3269 1.9321 1.8156
Sb Os F
2 2 1
Cartesian
1.6740 1.3968 2.2064
5.7383 3.0199 4.2477
3.5544 3.3615 2.6121
3.8579 1.0552 3.8420
0.0000 0.0000 0.0000
```



Most stable one: (two), least stable one: (one).